MgTaPt2 | PBE-GGA | optimized geometry Values from VASP.

## Properties
Energy of formation (eV/atom): -0.139
Magnetic moment (μB/cell): 0.0
Final energy (eV per atom): -6.52
Space-group type: I-42d, No. 122
Volume (Å³ per atom): 18.53

Geometry as Quantum ESPRESSO input:
```
&SYSTEM
  ibrav = 0, nat = 8, ntyp = 3
/
ATOMIC_SPECIES
Mg 24.30 Mg.upf
Ta 180.95 Ta.upf
Pt 195.08 Pt.upf
CELL_PARAMETERS angstrom
-3.604 3.604 2.853
3.604 -3.604 2.853
3.604 3.604 -2.853
ATOMIC_POSITIONS angstrom
Mg 0.000 0.000 0.000
Mg 0.000 3.604 1.426
Ta 3.604 0.000 1.426
Ta 0.000 0.000 2.853
Pt 1.802 1.925 -0.713
Pt 5.284 1.802 0.713
Pt 1.802 1.679 2.140
Pt -1.679 1.802 3.566
```